(1)
Entry from Alexandria via LeMat-Bulk: a relaxed structure of HfZr3N3 (GGA-PBE).

a b c (Å): 6.085 6.085 6.085
angles (deg): 75.90 75.90 75.90
Sites, in units of the cell vectors:
Hf: 0.195 0.195 0.195
Hf: 0.805 0.805 0.805
Zr: 0.186 0.652 0.350
Zr: 0.348 0.650 0.814
Zr: 0.350 0.186 0.652
Zr: 0.650 0.814 0.348
Zr: 0.652 0.350 0.186
Zr: 0.814 0.348 0.650
N: 0.075 0.503 0.738
N: 0.262 0.925 0.497
N: 0.497 0.262 0.925
N: 0.503 0.738 0.075
N: 0.738 0.075 0.503
N: 0.925 0.497 0.262

Magnetization = 0.000 Bohr magnetons per cell
ρ = 7.896 g/cm³
Distance to the lowest polymorph of the same formula = 0 meV/atom
ΔE_f (raw) = -1.1271 eV per atom
Electronic total energy = -68.5 eV/f.u.

---

(2)
Entry from Alexandria via LeMat-Bulk: a relaxed structure of Hf2Zr2N3 (GGA-PBE).

a b c (Å): 3.265 5.573 5.646
angles (deg): 78.55 73.20 89.90
Sites, in units of the cell vectors:
Hf: 0.132 0.364 0.236
Hf: 0.868 0.636 0.764
Zr: 0.375 0.125 0.750
Zr: 0.625 0.875 0.250
N: 0.000 0.000 0.500
N: 0.251 0.744 0.998
N: 0.749 0.256 0.002

Magnetization = 0.000 Bohr magnetons per cell
ρ = 10.033 g/cm³
ΔE_f (raw) = -1.5249 eV per atom
Electronic total energy = -72.7 eV/f.u.

---

| no. | density of states at the Fermi level (states/eV/f.u.) |
| --- | --- |
| 1 | 3.8 |
| 2 | 2.2 |